[1]
This record from the Alexandria database describes an optimized crystal structure of YAsHRu. The functional is GGA-PBE.

Lattice parameters (Å, degrees): 4.1086 4.1086 7.2156 90.00 90.00 90.00
Closest atoms and distances in Å follow each position.
Sites, in units of the cell vectors:
Y1 0.2500 0.2500 0.1617  4 H 2.36
Y2 0.7500 0.7500 0.8383  4 H 2.36
As1 0.2500 0.2500 0.6861  4 Ru 2.45
As2 0.7500 0.7500 0.3139  4 Ru 2.45
H1 0.2500 0.7500 0.0000  4 Y 2.36
H2 0.7500 0.2500 0.0000  4 Y 2.36
Ru1 0.2500 0.7500 0.5000  4 As 2.45
Ru2 0.7500 0.2500 0.5000  4 As 2.45

Summary:
E	-6.72	eV/atom



[2]
This record from the Alexandria database describes an optimized crystal structure of MoPbCl2. The functional is GGA-PBE.

Lattice parameters (Å, degrees): 3.3343 3.3343 10.8939 90.00 90.00 124.12
Closest atoms and distances in Å follow each position.
Sites, in units of the cell vectors:
Mo1 0.0000 0.0000 0.0000  4 Cl 2.46
Pb1 0.0000 0.0000 0.5000  6 Pb 3.12-3.33
Cl1 0.5000 0.5000 0.1743  2 Mo 2.46
Cl2 0.5000 0.5000 0.8257  2 Mo 2.46

Summary:
E_form (uncorrected)	-67.5	meV per atom
excess energy over the best structure of this formula in the dataset	0.147	eV per atom



In order of appearance, volume = 122 100 Å³ per cell.
In order of appearance, DOS(E_F) = 4.91 2.56 states/eV per cell.